4
Lattice="0.0000 3.5462 3.5462 3.5462 0.0000 3.5462 3.5462 3.5462 0.0000" Properties=species:S:1:pos:R:3 comment="PBE LuHfInAg, relaxed" crystal_system=cubic ef_ev_per_atom=-0.134 total_energy_ev_per_atom=-5.1503 magmom_total_mub_per_fu=0.9 pbc="T T T"
Lu 0.0000 0.0000 0.0000
Hf 3.5462 3.5462 3.5462
In 5.3193 5.3193 5.3193
Ag 1.7731 1.7731 1.7731

***

5
Lattice="4.9521 0.0000 0.0000 0.0000 4.9521 0.0000 0.0000 0.0000 5.2695" Properties=species:S:1:pos:R:3 comment="PBE Hf2InAgMo, relaxed" crystal_system=tetragonal ef_ev_per_atom=0.744 total_energy_ev_per_atom=-6.5215 magmom_total_mub_per_fu=0.0 pbc="T T T"
Hf 0.0000 2.4760 0.0000
Hf 2.4760 0.0000 0.0000
In 0.0000 0.0000 2.6348
Ag 2.4760 2.4760 2.6348
Mo 0.0000 0.0000 0.0000

***

5
Lattice="5.3986 0.0000 0.0000 0.0000 5.3986 0.0000 0.0000 0.0000 5.0644" Properties=species:S:1:pos:R:3 comment="PBE Hf2InAgP, relaxed" crystal_system=tetragonal ef_ev_per_atom=1.080 total_energy_ev_per_atom=-5.1008 magmom_total_mub_per_fu=0.1 pbc="T T T"
Hf 0.0000 2.6993 0.0000
Hf 2.6993 0.0000 0.0000
In 0.0000 0.0000 2.5322
Ag 0.0000 0.0000 0.0000
P 2.6993 2.6993 2.5322

***

4
Lattice="0.0000 3.3370 3.3370 3.3370 0.0000 3.3370 3.3370 3.3370 0.0000" Properties=species:S:1:pos:R:3 comment="PBE HfInAgPd, relaxed" crystal_system=cubic ef_ev_per_atom=-0.373 total_energy_ev_per_atom=-5.5573 magmom_total_mub_per_fu=0.0 pbc="T T T"
Hf 0.0000 0.0000 0.0000
In 3.3370 3.3370 3.3370
Ag 5.0054 5.0054 5.0054
Pd 1.6685 1.6685 1.6685

***

14
Lattice="-3.7511 3.8345 5.5711 3.7511 -3.8345 5.5711 3.7511 3.8345 -5.5711" Properties=species:S:1:pos:R:3 comment="PBE HfInAgS4, relaxed" crystal_system=orthorhombic total_energy_ev_per_atom=-5.4656 magmom_total_mub_per_fu=0.0 raw_formation_energy_ev_per_atom=-0.89 pbc="T T T"
Hf -1.8756 1.9173 2.7856
Hf 1.8756 1.9173 2.7856
In 0.0000 0.0000 0.0000
In 0.0000 3.8345 0.0000
Ag 3.7511 1.9173 -1.3661
Ag 0.0000 1.9173 6.9372
S 1.7643 1.9173 0.1989
S 1.9868 -1.9173 5.7701
S 0.0000 0.1746 2.7661
S 3.7511 0.1746 2.8050
S 0.0000 3.6599 2.7661
S 3.7511 3.6599 2.8050
S 1.7643 5.7518 -0.1989
S 1.9868 1.9173 5.3722

***

5
Lattice="4.7117 0.0000 0.0000 0.0000 4.7117 0.0000 0.0000 0.0000 5.0794" Properties=species:S:1:pos:R:3 comment="PBE HfInSiAg2, relaxed" crystal_system=tetragonal total_energy_ev_per_atom=-4.5049 magmom_total_mub_per_fu=0.0 raw_formation_energy_ev_per_atom=0.26 pbc="T T T"
Hf 0.0000 0.0000 0.0000
In 2.3558 2.3558 0.0000
Si 0.0000 0.0000 2.5397
Ag 0.0000 2.3558 2.5397
Ag 2.3558 0.0000 2.5397